1.
{"formula": "KZr4Mo", "functional": "GGA-PBE", "state": "relaxed", "cell": [[0.000, 4.201, 4.201], [4.201, 0.000, 4.201], [4.201, 4.201, 0.000]], "species": ["K", "Zr", "Zr", "Zr", "Zr", "Mo"], "frac_coords": [[0.000, 0.000, 0.000], [0.379, 0.379, 0.379], [0.379, 0.379, 0.864], [0.379, 0.864, 0.379], [0.864, 0.379, 0.379], [0.750, 0.750, 0.750]], "e_tot_ev_per_atom": -6.65, "vol_a3_per_atom": 24.7}



2.
{"formula": "K4ZrMo", "functional": "GGA-PBE", "state": "relaxed", "cell": [[0.000, 4.939, 4.939], [4.939, 0.000, 4.939], [4.939, 4.939, 0.000]], "species": ["K", "K", "K", "K", "Zr", "Mo"], "frac_coords": [[0.124, 0.124, 0.124], [0.124, 0.124, 0.627], [0.124, 0.627, 0.124], [0.627, 0.124, 0.124], [0.500, 0.500, 0.500], [0.750, 0.750, 0.750]], "e_tot_ev_per_atom": -2.47, "vol_a3_per_atom": 40.2}